First-principles (PBE) data for an optimized crystal structure of BaCeO2, as listed in the Alexandria database.

The calculation puts the excess energy over the best structure of this formula in the dataset at 0.0 meV per atom. For the uncorrected formation energy, the calculation gives -2.6535 eV/atom.

The structure belongs to space group R-3m (No. 166, hexagonal axes); the cell edges are 3.6912, 3.6912 and 18.8022 Å and the angles 90.00°, 90.00° and 120.00°. The asymmetric unit holds Ba at (0.0000, 0.0000, 0.0000), Ce at (0.0000, 0.0000, 0.5000) and O at (0.0000, 0.0000, 0.2305).

First-principles (PBE) data for an optimized crystal structure of Ba3Ce5O12, as listed in the Alexandria database.

For the uncorrected formation energy, the calculation gives -3.1374 eV/atom.

The structure belongs to space group Ia-3d (No. 230); the cell edges are 14.5978, 14.5978 and 14.5978 Å and the angles 90.00°, 90.00° and 90.00°. The asymmetric unit holds Ba at (0.0000, 0.2500, 0.1250), Ce at (0.0000, 0.0000, 0.0000), Ce at (0.0000, 0.2500, 0.3750) and O at (0.0287, 0.0491, 0.6478).

First-principles (PBE) data for an optimized crystal structure of Ba4Ce2O7, as listed in the Alexandria database.

For the uncorrected formation energy, the calculation gives -2.7973 eV/atom.

The structure belongs to space group Cmce (No. 64); the cell edges are 13.8734, 6.3101 and 12.9251 Å and the angles 90.00°, 90.00° and 90.00°. The asymmetric unit holds Ba at (0.1515, 0.2403, 0.1068), Ce at (0.0000, 0.2491, 0.8653), O at (0.0000, 0.0000, 0.5000), O at (0.0000, 0.0743, 0.2169) and O at (0.1602, 0.1910, 0.9007).